1.
Entry from Alexandria via LeMat-Bulk: a geometry-optimized Y4NiPb2 structure (PBE).

POSCAR file:
```
Y4NiPb2
1.0
-0.106 0.828 -4.904
-0.780 -4.848 -0.801
-7.765 3.266 3.242
Pb Y Ni
2 4 1
direct
0.638 0.638 0.277
0.362 0.362 0.723
0.826 0.826 0.652
0.174 0.174 0.348
0.000 0.500 0.000
0.500 0.000 0.000
0.000 0.000 0.000
```

Summary:
The density comes out at 6.69 Mg/m³. The volume is 29.39 Å³/atom. As for the total moment: 0.00 μB/cell. The value obtained for the formation energy is -371 meV/atom.


2.
Entry from Alexandria via LeMat-Bulk: a geometry-optimized Y3NiPb structure (PBE).

POSCAR file:
```
Y3NiPb
1.0
-1.689 4.383 -2.272
-4.789 -0.871 1.880
1.200 2.693 4.305
Pb Y Ni
1 3 1
direct
0.500 0.500 0.500
0.000 0.500 0.000
0.000 0.000 0.500
0.500 0.000 0.000
0.000 0.000 0.000
```

Summary:
The density comes out at 6.23 Mg/m³. The volume is 28.41 Å³/atom. As for the total moment: 0.00 μB/cell. The value obtained for the formation energy is -299 meV/atom.